# 1
VASP calculation (PBE-GGA) on a geometry-optimized Ba2OsAu structure.

a b c (Å): 8.237 3.808 8.726
angles (deg): 90.00 101.50 90.00
Sites, in units of the cell vectors:
Ba  0.244  0.000  0.230
Ba  0.256  0.500  0.770
Ba  0.744  0.500  0.230
Ba  0.756  0.000  0.770
Os  0.000  0.500  0.000
Os  0.500  0.000  0.000
Au  0.000  0.000  0.500
Au  0.500  0.500  0.500

Summary:
* ΔH_f (0 K): 0.485 eV/atom
* calculated density: 8.2 Mg/m³
* DOS(E_F): 8.0 states/eV/cell
* E above lowest polymorph: 0.73 eV/f.u.



# 2
VASP calculation (PBE-GGA) on a geometry-optimized BaOsAu2 structure.

a b c (Å): 3.748 5.551 9.679
angles (deg): 90.00 90.00 90.00
Sites, in units of the cell vectors:
Ba  0.000  0.000  0.000
Ba  0.500  0.500  0.500
Os  0.000  0.000  0.500
Os  0.500  0.500  0.000
Au  0.000  0.500  0.194
Au  0.000  0.500  0.806
Au  0.500  0.000  0.306
Au  0.500  0.000  0.694

Summary:
* ΔH_f (0 K): 0.553 eV/atom
* calculated density: 11.9 Mg/m³
* DOS(E_F): 9.0 states/eV/cell
* E above lowest polymorph: 1.59 eV/f.u.



# 3
VASP calculation (PBE-GGA) on a geometry-optimized Ba2OsAu structure.

a b c (Å): 4.652 4.652 6.452
angles (deg): 90.00 90.00 90.00
Sites, in units of the cell vectors:
Ba  0.000  0.000  0.000
Ba  0.500  0.500  0.499
Os  0.500  0.500  0.999
Au  0.000  0.000  0.500

Summary:
* ΔH_f (0 K): 0.501 eV/atom
* calculated density: 7.9 Mg/m³
* DOS(E_F): 3.7 states/eV/cell
* E above lowest polymorph: 0.79 eV/f.u.



# 4
VASP calculation (PBE-GGA) on a geometry-optimized BaOsAu2 structure.

a b c (Å): 4.364 4.364 9.541
angles (deg): 90.00 90.00 90.00
Sites, in units of the cell vectors:
Ba  0.000  0.000  0.000
Ba  0.500  0.500  0.500
Os  0.000  0.500  0.750
Os  0.500  0.000  0.250
Au  0.000  0.000  0.500
Au  0.000  0.500  0.250
Au  0.500  0.000  0.750
Au  0.500  0.500  0.000

Summary:
* ΔH_f (0 K): 0.698 eV/atom
* calculated density: 13.2 Mg/m³
* DOS(E_F): 9.5 states/eV/cell
* E above lowest polymorph: 2.17 eV/f.u.



# 5
VASP calculation (PBE-GGA) on a geometry-optimized BaOs3Au structure.

a b c (Å): 5.046 5.046 5.046
angles (deg): 90.00 90.00 90.00
Sites, in units of the cell vectors:
Ba  0.000  0.000  0.000
Os  0.000  0.000  0.500
Os  0.000  0.500  0.000
Os  0.500  0.000  0.000
Au  0.500  0.500  0.500

Summary:
* ΔH_f (0 K): 3.763 eV/atom
* calculated density: 11.7 Mg/m³
* DOS(E_F): 4.4 states/eV/cell
* E above lowest polymorph: 7.78 eV/f.u.



# 6
VASP calculation (PBE-GGA) on a geometry-optimized BaOs2Au structure.

a b c (Å): 2.945 3.696 7.832
angles (deg): 90.00 90.10 90.00
Sites, in units of the cell vectors:
Ba  0.000  0.000  0.000
Os  0.498  0.500  0.327
Os  0.999  0.000  0.459
Au  0.500  0.500  0.689

Summary:
* ΔH_f (0 K): 0.448 eV/atom
* calculated density: 13.9 Mg/m³
* DOS(E_F): 3.0 states/eV/cell
* E above lowest polymorph: 0.98 eV/f.u.



# 7
VASP calculation (PBE-GGA) on a geometry-optimized BaOsAu4 structure.

a b c (Å): 5.678 5.678 5.678
angles (deg): 60.00 60.00 60.00
Sites, in units of the cell vectors:
Ba  0.000  0.000  0.000
Os  0.750  0.750  0.750
Au  0.376  0.376  0.376
Au  0.376  0.376  0.873
Au  0.376  0.873  0.376
Au  0.873  0.376  0.376

Summary:
* ΔH_f (0 K): 0.401 eV/atom
* calculated density: 14.3 Mg/m³
* DOS(E_F): 6.9 states/eV/cell



# 8
VASP calculation (PBE-GGA) on a geometry-optimized Ba2OsAu structure.

a b c (Å): 3.766 3.766 8.371
angles (deg): 90.00 90.00 90.00
Sites, in units of the cell vectors:
Ba  0.000  0.000  0.231
Ba  0.000  0.000  0.769
Os  0.500  0.500  0.000
Au  0.500  0.500  0.500

Summary:
* ΔH_f (0 K): 0.311 eV/atom
* calculated density: 9.3 Mg/m³
* DOS(E_F): 5.1 states/eV/cell
* E above lowest polymorph: 0.03 eV/f.u.



# 9
VASP calculation (PBE-GGA) on a geometry-optimized Ba4OsAu structure.

a b c (Å): 6.705 6.705 6.705
angles (deg): 60.00 60.00 60.00
Sites, in units of the cell vectors:
Ba  0.124  0.124  0.124
Ba  0.124  0.124  0.627
Ba  0.124  0.627  0.124
Ba  0.627  0.124  0.124
Os  0.750  0.750  0.750
Au  0.500  0.500  0.500

Summary:
* ΔH_f (0 K): 1.122 eV/atom
* calculated density: 7.3 Mg/m³
* DOS(E_F): 4.6 states/eV/cell



# 10
VASP calculation (PBE-GGA) on a geometry-optimized BaOsAu2 structure.

a b c (Å): 4.611 4.611 16.901
angles (deg): 90.00 90.00 120.00
Sites, in units of the cell vectors:
Ba  0.000  0.000  0.000
Ba  0.333  0.667  0.667
Ba  0.667  0.333  0.333
Os  0.000  0.000  0.500
Os  0.333  0.667  0.167
Os  0.667  0.333  0.833
Au  0.000  0.000  0.195
Au  0.000  0.000  0.805
Au  0.333  0.667  0.472
Au  0.333  0.667  0.861
Au  0.667  0.333  0.139
Au  0.667  0.333  0.528

Summary:
* ΔH_f (0 K): 0.157 eV/atom
* calculated density: 11.5 Mg/m³
* DOS(E_F): 8.6 states/eV/cell
* E above lowest polymorph: 0.00 eV/f.u.



# 11
VASP calculation (PBE-GGA) on a geometry-optimized BaOsAu2 structure.

a b c (Å): 3.064 3.064 30.857
angles (deg): 90.00 90.00 120.00
Sites, in units of the cell vectors:
Ba  0.000  0.000  0.000
Ba  0.333  0.667  0.667
Ba  0.667  0.333  0.333
Os  0.000  0.000  0.500
Os  0.333  0.667  0.167
Os  0.667  0.333  0.833
Au  0.000  0.000  0.237
Au  0.000  0.000  0.763
Au  0.333  0.667  0.429
Au  0.333  0.667  0.904
Au  0.667  0.333  0.096
Au  0.667  0.333  0.571

Summary:
* ΔH_f (0 K): 0.820 eV/atom
* calculated density: 14.3 Mg/m³
* DOS(E_F): 9.9 states/eV/cell
* E above lowest polymorph: 2.66 eV/f.u.



# 12
VASP calculation (PBE-GGA) on a geometry-optimized BaOs2Au structure.

a b c (Å): 2.935 2.935 31.237
angles (deg): 90.00 90.00 120.00
Sites, in units of the cell vectors:
Ba  0.000  0.000  0.000
Ba  0.333  0.667  0.667
Ba  0.667  0.333  0.333
Os  0.000  0.000  0.239
Os  0.000  0.000  0.761
Os  0.333  0.667  0.428
Os  0.333  0.667  0.905
Os  0.667  0.333  0.095
Os  0.667  0.333  0.572
Au  0.000  0.000  0.500
Au  0.333  0.667  0.167
Au  0.667  0.333  0.833

Summary:
* ΔH_f (0 K): 1.276 eV/atom
* calculated density: 15.3 Mg/m³
* DOS(E_F): 11.4 states/eV/cell
* E above lowest polymorph: 4.29 eV/f.u.



# 13
VASP calculation (PBE-GGA) on a geometry-optimized BaOs2Au structure.

a b c (Å): 3.044 3.044 8.708
angles (deg): 90.00 90.00 90.00
Sites, in units of the cell vectors:
Ba  0.000  0.000  0.000
Os  0.500  0.500  0.304
Os  0.500  0.500  0.696
Au  0.000  0.000  0.500

Summary:
* ΔH_f (0 K): 1.230 eV/atom
* calculated density: 14.7 Mg/m³
* DOS(E_F): 4.7 states/eV/cell
* E above lowest polymorph: 4.10 eV/f.u.



# 14
VASP calculation (PBE-GGA) on a geometry-optimized BaOs2Au structure.

a b c (Å): 4.117 4.117 4.901
angles (deg): 90.00 90.00 90.00
Sites, in units of the cell vectors:
Ba  0.000  0.000  0.000
Os  0.000  0.500  0.500
Os  0.500  0.000  0.500
Au  0.500  0.500  0.000

Summary:
* ΔH_f (0 K): 1.317 eV/atom
* calculated density: 14.3 Mg/m³
* DOS(E_F): 4.8 states/eV/cell
* E above lowest polymorph: 4.45 eV/f.u.



# 15
VASP calculation (PBE-GGA) on a geometry-optimized BaOs2Au structure.

a b c (Å): 3.108 4.945 10.112
angles (deg): 90.00 90.00 90.00
Sites, in units of the cell vectors:
Ba  0.000  0.000  0.000
Ba  0.500  0.500  0.000
Os  0.000  0.500  0.276
Os  0.000  0.500  0.724
Os  0.500  0.000  0.276
Os  0.500  0.000  0.724
Au  0.000  0.000  0.500
Au  0.500  0.500  0.500

Summary:
* ΔH_f (0 K): 1.366 eV/atom
* calculated density: 15.3 Mg/m³
* DOS(E_F): 11.0 states/eV/cell
* E above lowest polymorph: 4.65 eV/f.u.



# 16
VASP calculation (PBE-GGA) on a geometry-optimized BaOs2Au structure.

a b c (Å): 4.372 4.372 18.001
angles (deg): 90.00 90.00 120.00
Sites, in units of the cell vectors:
Ba  0.000  0.000  0.000
Ba  0.333  0.667  0.667
Ba  0.667  0.333  0.333
Os  0.000  0.000  0.194
Os  0.000  0.000  0.522
Os  0.333  0.667  0.189
Os  0.333  0.667  0.861
Os  0.667  0.333  0.528
Os  0.667  0.333  0.856
Au  0.000  0.000  0.797
Au  0.333  0.667  0.464
Au  0.667  0.333  0.130

Summary:
* ΔH_f (0 K): 0.204 eV/atom
* calculated density: 11.9 Mg/m³
* DOS(E_F): 5.0 states/eV/cell
* E above lowest polymorph: 0.00 eV/f.u.



# 17
VASP calculation (PBE-GGA) on a geometry-optimized BaOs2Au structure.

a b c (Å): 2.977 2.977 30.958
angles (deg): 90.00 90.00 120.00
Sites, in units of the cell vectors:
Ba  0.000  0.000  0.000
Ba  0.333  0.667  0.667
Ba  0.667  0.333  0.333
Os  0.000  0.000  0.492
Os  0.000  0.000  0.763
Os  0.333  0.667  0.159
Os  0.333  0.667  0.429
Os  0.667  0.333  0.096
Os  0.667  0.333  0.826
Au  0.000  0.000  0.235
Au  0.333  0.667  0.902
Au  0.667  0.333  0.569

Summary:
* ΔH_f (0 K): 0.902 eV/atom
* calculated density: 15.0 Mg/m³
* DOS(E_F): 16.6 states/eV/cell
* E above lowest polymorph: 2.79 eV/f.u.



# 18
VASP calculation (PBE-GGA) on a geometry-optimized BaOsAu2 structure.

a b c (Å): 3.285 5.233 10.460
angles (deg): 90.00 90.00 90.00
Sites, in units of the cell vectors:
Ba  0.000  0.000  0.000
Ba  0.500  0.500  0.500
Os  0.000  0.500  0.770
Os  0.500  0.000  0.270
Au  0.000  0.000  0.482
Au  0.000  0.500  0.218
Au  0.500  0.000  0.718
Au  0.500  0.500  0.982

Summary:
* ΔH_f (0 K): 0.620 eV/atom
* calculated density: 13.3 Mg/m³
* DOS(E_F): 6.8 states/eV/cell
* E above lowest polymorph: 1.86 eV/f.u.



# 19
VASP calculation (PBE-GGA) on a geometry-optimized Ba2OsAu structure.

a b c (Å): 3.746 3.746 9.378
angles (deg): 90.00 90.00 90.00
Sites, in units of the cell vectors:
Ba  0.000  0.000  0.000
Ba  0.500  0.500  0.442
Os  0.000  0.000  0.686
Au  0.500  0.500  0.768

Summary:
* ΔH_f (0 K): 0.430 eV/atom
* calculated density: 8.4 Mg/m³
* DOS(E_F): 3.7 states/eV/cell
* E above lowest polymorph: 0.51 eV/f.u.



# 20
VASP calculation (PBE-GGA) on a geometry-optimized Ba2SbOsAu structure.

a b c (Å): 6.165 6.165 5.005
angles (deg): 90.00 90.00 90.00
Sites, in units of the cell vectors:
Ba  0.000  0.500  0.000
Ba  0.500  0.000  0.000
Sb  0.000  0.000  0.500
Os  0.500  0.500  0.500
Au  0.500  0.500  0.000

Summary:
* calculated density: 6.8 Mg/m³
* formation energy without anion corrections: 391 meV per atom
* DOS(E_F): 5.5 states/eV/cell



Looking at raw total energy for the records above, in order, we have -4.104; -4.374; -4.087; -4.229; -4.015; -6.467; -3.976; -4.277; -2.577; -4.770; -4.107; -5.639; -5.685; -5.598; -5.549; -6.711; -6.013; -4.306; -4.158; -4.104 eV/atom.